Compound: DySiSn2
Source: OQMD
Functional: PBE
Structure: relaxed

Lattice parameters (Å, degrees): 3.5664 3.5664 10.0173 90.00 90.00 120.00
Space group P-6m2 (No. 187)
Inequivalent atoms, fractional coordinates:
Dy (0.0000, 0.0000, 0.0000)
Si (0.6667, 0.3333, 0.5000)
Sn (0.0000, 0.0000, 0.3108)


Compound: NaHoNO
Source: OQMD
Functional: PBE
Structure: relaxed

Lattice parameters (Å, degrees): 6.441 7.700 5.735 90.00 90.00 90.00
Space group Pca2_1 (No. 29)
Inequivalent atoms, fractional coordinates:
Na (0.070, 0.111, 0.000)
Ho (0.075, 0.620, 0.962)
N (0.083, 0.156, 0.590)
O (0.105, 0.603, 0.583)


Compound: SrLuAg
Source: OQMD
Functional: PBE
Structure: relaxed

Lattice parameters (Å, degrees): 7.204 7.204 7.204 90.00 90.00 90.00
Space group F-43m (No. 216)
Inequivalent atoms, fractional coordinates:
Sr (0.000, 0.000, 0.000)
Lu (0.250, 0.250, 0.750)
Ag (0.000, 0.000, 0.500)


Compound: LiZrGeIr
Source: OQMD
Functional: PBE
Structure: relaxed

Lattice parameters (Å, degrees): 6.283 6.283 6.283 90.00 90.00 90.00
Space group F-43m (No. 216)
Inequivalent atoms, fractional coordinates:
Li (0.000, 0.000, 0.000)
Zr (0.250, 0.250, 0.250)
Ge (0.250, 0.250, 0.750)
Ir (0.000, 0.000, 0.500)


Compound: Y4Sc2Ni3C3
Source: OQMD
Functional: PBE
Structure: relaxed

Lattice parameters (Å, degrees): 10.556 6.090 13.655 90.00 104.87 90.00
Space group C2/c (No. 15)
Inequivalent atoms, fractional coordinates:
Y (0.120, 0.080, 0.109)
Y (0.212, 0.085, 0.391)
Sc (0.059, 0.414, 0.919)
Ni (0.000, 0.348, 0.250)
Ni (0.116, 0.297, 0.750)
C (0.082, 0.255, 0.500)
C (0.250, 0.250, 0.000)


Compound: Ho3Si4Pt
Source: OQMD
Functional: PBE
Structure: relaxed

Lattice parameters (Å, degrees): 5.660 3.820 7.507 90.00 97.72 90.00
Space group Pm (No. 6)
Inequivalent atoms, fractional coordinates:
Ho (0.000, 0.000, 0.000)
Ho (0.174, 0.000, 0.481)
Ho (0.479, 0.500, 0.858)
Si (0.288, 0.500, 0.209)
Si (0.557, 0.000, 0.181)
Si (0.693, 0.000, 0.643)
Si (0.975, 0.500, 0.713)
Pt (0.645, 0.500, 0.432)


Compound: TaCoHgBi
Source: OQMD
Functional: PBE
Structure: relaxed

Lattice parameters (Å, degrees): 6.813 6.813 6.813 90.00 90.00 90.00
Space group F-43m (No. 216)
Inequivalent atoms, fractional coordinates:
Ta (0.000, 0.000, 0.000)
Co (0.250, 0.250, 0.750)
Hg (0.250, 0.250, 0.250)
Bi (0.000, 0.000, 0.500)


Compound: TlFeWAu
Source: OQMD
Functional: PBE
Structure: relaxed

Lattice parameters (Å, degrees): 6.504 6.504 6.504 90.00 90.00 90.00
Space group F-43m (No. 216)
Inequivalent atoms, fractional coordinates:
Tl (0.000, 0.000, 0.000)
Fe (0.250, 0.250, 0.250)
W (0.250, 0.250, 0.750)
Au (0.000, 0.000, 0.500)


Compound: KLaHgS3
Source: OQMD
Functional: PBE
Structure: relaxed

Lattice parameters (Å, degrees): 17.905 4.276 8.987 90.00 105.03 90.00
Space group C2/m (No. 12)
Inequivalent atoms, fractional coordinates:
K (0.138, 0.000, 0.072)
La (0.169, 0.000, 0.589)
Hg (0.014, 0.500, 0.724)
S (0.000, 0.000, 0.500)
S (0.000, 0.500, 0.000)
S (0.166, 0.500, 0.371)
S (0.167, 0.500, 0.800)


Compound: Sc2AsPd
Source: OQMD
Functional: PBE
Structure: relaxed

Lattice parameters (Å, degrees): 6.647 6.647 6.647 90.00 90.00 90.00
Space group F-43m (No. 216)
Inequivalent atoms, fractional coordinates:
Sc (0.000, 0.000, 0.000)
Sc (0.250, 0.250, 0.250)
As (0.000, 0.000, 0.500)
Pd (0.250, 0.250, 0.750)


Compound: BaPuIr
Source: OQMD
Functional: PBE
Structure: relaxed

Lattice parameters (Å, degrees): 6.821 6.821 6.821 90.00 90.00 90.00
Space group F-43m (No. 216)
Inequivalent atoms, fractional coordinates:
Ba (0.000, 0.000, 0.000)
Pu (0.250, 0.250, 0.250)
Ir (0.250, 0.250, 0.750)


Compound: HfSc2S4
Source: OQMD
Functional: PBE
Structure: relaxed

Lattice parameters (Å, degrees): 7.405 10.263 3.628 90.00 90.00 90.00
Space group Cmmm (No. 65)
Inequivalent atoms, fractional coordinates:
Hf (0.000, 0.000, 0.000)
Sc (0.250, 0.250, 0.500)
S (0.000, 0.253, 0.000)
S (0.246, 0.000, 0.500)


Compound: YCuOsW
Source: OQMD
Functional: PBE
Structure: relaxed

Lattice parameters (Å, degrees): 6.488 6.488 6.488 90.00 90.00 90.00
Space group F-43m (No. 216)
Inequivalent atoms, fractional coordinates:
Y (0.000, 0.000, 0.000)
Cu (0.250, 0.250, 0.250)
Os (0.250, 0.250, 0.750)
W (0.000, 0.000, 0.500)


Compound: Gd2DyTl3PtAu2
Source: OQMD
Functional: PBE
Structure: relaxed

Lattice parameters (Å, degrees): 3.944 13.571 7.845 90.00 90.00 90.00
Space group Amm2 (No. 38)
Inequivalent atoms, fractional coordinates:
Gd (0.000, 0.199, 0.000)
Dy (0.000, 0.000, 0.597)
Tl (0.500, 0.000, 0.938)
Tl (0.500, 0.131, 0.330)
Pt (0.000, 0.000, 0.201)
Au (0.500, 0.165, 0.699)


Compound: CdNi8
Source: OQMD
Functional: PBE
Structure: relaxed

Lattice parameters (Å, degrees): 7.811 3.481 28.447 90.00 90.15 90.00
Space group C2/m (No. 12)
Inequivalent atoms, fractional coordinates:
Cd (0.051, 0.000, 0.251)
Ni (0.050, 0.000, 0.541)
Ni (0.050, 0.500, 0.403)
Ni (0.052, 0.500, 0.680)
Ni (0.149, 0.000, 0.348)
Ni (0.149, 0.000, 0.624)
Ni (0.150, 0.500, 0.486)
Ni (0.249, 0.500, 0.569)
Ni (0.250, 0.000, 0.705)


Compound: Na2Bi5AuO11
Source: OQMD
Functional: PBE
Structure: relaxed

Lattice parameters (Å, degrees): 12.233 12.233 3.877 90.00 90.00 90.00
Space group P4/mbm (No. 127)
Inequivalent atoms, fractional coordinates:
Na (0.205, 0.295, 0.000)
Bi (0.000, 0.500, 0.000)
Bi (0.047, 0.771, 0.500)
Au (0.000, 0.000, 0.000)
O (0.000, 0.500, 0.500)
O (0.004, 0.328, 0.000)
O (0.113, 0.879, 0.000)
O (0.212, 0.712, 0.500)


Compound: CdFeSiW
Source: OQMD
Functional: PBE
Structure: relaxed

Lattice parameters (Å, degrees): 6.193 6.193 6.193 90.00 90.00 90.00
Space group F-43m (No. 216)
Inequivalent atoms, fractional coordinates:
Cd (0.000, 0.000, 0.000)
Fe (0.250, 0.250, 0.750)
Si (0.000, 0.000, 0.500)
W (0.250, 0.250, 0.250)


Compound: Sm2Te3
Source: OQMD
Functional: PBE
Structure: relaxed

Lattice parameters (Å, degrees): 8.913 12.569 26.659 90.00 90.00 90.00
Space group Fddd (No. 70, origin choice 2)
Inequivalent atoms, fractional coordinates:
Sm (0.125, 0.125, 0.042)
Sm (0.125, 0.125, 0.376)
Te (0.124, 0.375, 0.208)
Te (0.124, 0.375, 0.875)


Compound: KGdMgS3
Source: OQMD
Functional: PBE
Structure: relaxed

Lattice parameters (Å, degrees): 4.103 14.377 10.894 90.00 90.00 90.00
Space group Cmcm (No. 63)
Inequivalent atoms, fractional coordinates:
K (0.000, 0.245, 0.250)
Gd (0.000, 0.500, 0.000)
Mg (0.000, 0.033, 0.750)
S (0.000, 0.121, 0.564)
S (0.000, 0.437, 0.750)


Compound: BaNpGe
Source: OQMD
Functional: PBE
Structure: relaxed

Lattice parameters (Å, degrees): 7.276 7.276 7.276 90.00 90.00 90.00
Space group F-43m (No. 216)
Inequivalent atoms, fractional coordinates:
Ba (0.000, 0.000, 0.000)
Np (0.250, 0.250, 0.250)
Ge (0.000, 0.000, 0.500)


Compound: Sr2Si2Au
Source: OQMD
Functional: PBE
Structure: relaxed

Lattice parameters (Å, degrees): 5.625 5.625 9.349 90.00 90.00 90.00
Space group I4/mmm (No. 139)
Inequivalent atoms, fractional coordinates:
Sr (0.000, 0.500, 0.250)
Si (0.000, 0.000, 0.116)
Au (0.000, 0.000, 0.500)


Compound: NaIn4Ir
Source: OQMD
Functional: PBE
Structure: relaxed

Lattice parameters (Å, degrees): 9.092 4.050 7.701 90.00 90.00 90.00
Space group Pmma (No. 51)
Inequivalent atoms, fractional coordinates:
Na (0.250, 0.000, 0.091)
In (0.000, 0.000, 0.500)
In (0.068, 0.500, 0.822)
In (0.250, 0.500, 0.420)
Ir (0.250, 0.000, 0.685)


| no. | calculated total energy (eV per atom) |
| --- | --- |
| 1 | -4.217 |
| 2 | -5.976 |
| 3 | -2.458 |
| 4 | -6.732 |
| 5 | -7.191 |
| 6 | -5.896 |
| 7 | -5.030 |
| 8 | -5.882 |
| 9 | -4.338 |
| 10 | -5.980 |
| 11 | -6.675 |
| 12 | -7.405 |
| 13 | -8.341 |
| 14 | -4.378 |
| 15 | -4.942 |
| 16 | -5.288 |
| 17 | -6.319 |
| 18 | -5.204 |
| 19 | -4.947 |
| 20 | -5.892 |
| 21 | -3.513 |
| 22 | -3.685 |